Entry 1:
Computed, not measured: an optimized crystal structure of Be2Nb2Os at the PBE-GGA level of DFT.

Summary:
Space group   No. 127

Cell lengths 6.296, 6.296, 3.316 Å; angles 90.00, 90.00, 90.00 degrees
Element x y z (fractional)
Be: 0.378 0.878 0.000
Be: 0.878 0.622 0.000
Be: 0.622 0.122 0.000
Be: 0.122 0.378 0.000
Nb: 0.175 0.675 0.500
Nb: 0.675 0.825 0.500
Nb: 0.825 0.325 0.500
Nb: 0.325 0.175 0.500
Os: 0.000 0.000 0.000
Os: 0.500 0.500 0.000


Entry 2:
Computed, not measured: an optimized crystal structure of TmLuHgPd at the PBE-GGA level of DFT.

Summary:
Space group   No. 216

Cell lengths 5.028, 5.028, 5.028 Å; angles 60.00, 60.00, 60.00 degrees
Element x y z (fractional)
Lu: 0.250 0.250 0.250
Tm: 0.750 0.750 0.750
Hg: 0.500 0.500 0.500
Pd: 0.000 0.000 0.000


Entry 3:
Computed, not measured: an optimized crystal structure of Dy2Be6Pt9 at the PBE-GGA level of DFT.

Summary:
Space group   No. 191

Cell lengths 5.510, 5.510, 10.162 Å; angles 90.00, 90.00, 120.00 degrees
Element x y z (fractional)
Dy: 0.000 0.000 0.690
Dy: 0.000 0.000 0.310
Be: 0.333 0.667 0.000
Be: 0.667 0.333 0.000
Be: 0.333 0.667 0.666
Be: 0.667 0.333 0.666
Be: 0.667 0.333 0.334
Be: 0.333 0.667 0.334
Pt: 0.500 0.000 0.833
Pt: 0.000 0.500 0.833
Pt: 0.500 0.500 0.833
Pt: 0.500 0.000 0.167
Pt: 0.000 0.500 0.167
Pt: 0.500 0.500 0.167
Pt: 0.500 0.000 0.500
Pt: 0.000 0.500 0.500
Pt: 0.500 0.500 0.500


Entry 4:
Computed, not measured: an optimized crystal structure of Tl2AgPb2 at the PBE-GGA level of DFT.

Summary:
ΔE to the lowest computed polymorph   153.0 meV per atom
Space group   No. 139

Cell lengths 4.240, 4.240, 9.146 Å; angles 76.60, 76.60, 90.00 degrees
Element x y z (fractional)
Pb: 0.409 0.409 0.182
Pb: 0.591 0.591 0.818
Tl: 0.750 0.250 0.500
Tl: 0.250 0.750 0.500
Ag: 0.000 0.000 0.000


Entry 5:
Computed, not measured: an optimized crystal structure of LiHfIn2 at the PBE-GGA level of DFT.

Summary:
Space group   No. 166

Cell lengths 3.177, 3.177, 10.142 Å; angles 80.99, 80.99, 60.00 degrees
Element x y z (fractional)
Li: 0.000 0.000 0.000
Hf: 0.500 0.500 0.500
In: 0.747 0.747 0.760
In: 0.253 0.253 0.240


Entry 6:
Computed, not measured: an optimized crystal structure of MnCuAu5 at the PBE-GGA level of DFT.

Summary:
ΔE to the lowest computed polymorph   267.9 meV per atom
Space group   No. 44

Cell lengths 7.175, 7.290, 5.777 Å; angles 129.12, 128.39, 90.00 degrees
Last column: magnetic moment on the atom in μB.
Element x y z (fractional)
Mn: 0.035 0.000 0.000  4.22
Cu: 0.513 0.500 0.000  0.04
Au: 0.944 0.245 0.491  0.03
Au: 0.855 0.500 0.000  0.01
Au: 0.454 0.755 0.509  0.03
Au: 0.365 0.185 0.000  0.03
Au: 0.365 0.815 0.000  0.03


| no. | ΔH_f (0 K) (eV per atom) | total magnetization (μB per formula unit) |
| --- | --- | --- |
| 1 | -0.39 | 0.0 |
| 2 | -0.68 | 0.0 |
| 3 | -0.83 | 0.0 |
| 4 | 0.26 | 0.0 |
| 5 | -0.09 | 0.0 |
| 6 | 0.26 | 4.7 |